The following is a PBE calculation of a relaxed structure of Pm5Y2Er, from Alexandria via LeMat-Bulk.

The space group is C2/c (No. 15) and the conventional cell measures 6.2142, 28.2103 and 6.5535 Å, with angles of 90.00, 106.86 and 90.00 degrees. The distinct sites, in fractional coordinates, are Pm at (0.0000, 0.0975, 0.2500), Pm at (0.2040, 0.3916, 0.0970), Pm at (0.2380, 0.3088, 0.4971), Y at (0.0000, 0.0000, 0.0000), Y at (0.2500, 0.2500, 0.0000) and Er at (0.0000, 0.4854, 0.7500).

Its crystal system is monoclinic. Its energy above the most stable polymorph in this dataset is 96 meV per atom. The volume comes out at 34.4 A^3/atom. For the magnetization, the calculation gives 0.00 μB/atom.